No. 1
MnAsOs2 | PBEsol | optimized geometry

Summary:
calculated volume	13.5	A^3/atom
energy relative to the elements	0.38	eV/atom

Geometry as POSCAR:
```
MnAsOs2
1.0
-2.145 2.087 -2.218
1.227 -1.890 -2.966
-2.457 -2.650 3.011
Os As Mn
2 1 1
direct
0.750 0.250 0.500
0.000 0.000 0.000
0.500 0.500 0.000
0.250 0.750 0.500
```



No. 2
Hf2RhCl | PBEsol | optimized geometry

Summary:
raw total energy	-8.178	eV/atom
calculated volume	17.3	A^3/atom

Geometry as POSCAR:
```
Hf2RhCl
1.0
4.607 0.000 0.000
2.304 3.990 0.000
2.304 1.330 3.762
Hf Rh Cl
2 1 1
direct
0.250 0.250 0.250
0.750 0.750 0.750
0.500 0.500 0.500
0.000 0.000 0.000
```



No. 3
Mg2Ir | PBEsol | optimized geometry

Summary:
calculated volume	16.0	A^3/atom
energy relative to the elements	-0.27	eV/atom

Geometry as POSCAR:
```
Mg2Ir
1.0
3.100 0.000 0.000
0.000 4.461 0.000
-1.550 0.000 6.934
Mg Ir
4 2
direct
0.559 0.250 0.117
0.441 0.750 0.883
0.234 0.250 0.469
0.766 0.750 0.531
0.108 0.750 0.216
0.892 0.250 0.784
```



No. 4
Zr5Al2Cu | PBEsol | optimized geometry

Summary:
calculated volume	19.2	A^3/atom
energy relative to the elements	-0.25	eV/atom

Geometry as POSCAR:
```
Zr5Al2Cu
1.0
4.419 0.000 0.000
0.000 5.912 0.000
0.000 0.000 11.769
Zr Al Cu
10 4 2
direct
0.500 0.796 0.615
0.500 0.704 0.115
0.500 0.204 0.385
0.500 0.296 0.885
0.000 0.066 0.734
0.000 0.934 0.266
0.000 0.000 0.000
0.000 0.500 0.500
0.000 0.566 0.766
0.000 0.434 0.234
0.500 0.693 0.368
0.500 0.807 0.868
0.500 0.307 0.632
0.500 0.193 0.132
0.000 0.500 0.000
0.000 0.000 0.500
```



No. 5
La2ScRu | PBEsol | optimized geometry

Summary:
relative energy among the computed polymorphs	25.2	meV per atom
calculated volume	23.2	A^3/atom
energy relative to the elements	0.16	eV/atom

Geometry as POSCAR:
```
La2ScRu
1.0
-1.029 4.073 -0.668
-3.821 -0.680 1.742
4.311 -0.462 4.082
Ru Sc La
1 1 2
direct
0.500 0.500 0.000
0.250 0.750 0.500
0.750 0.250 0.500
0.000 0.000 0.000
```



No. 6
ScI2BrO | PBEsol | optimized geometry

Summary:
raw total energy	-3.233	eV/atom
calculated volume	27.0	A^3/atom

Geometry as POSCAR:
```
ScI2BrO
1.0
-3.098 -0.208 -2.159
-0.029 -5.938 0.614
-3.424 0.520 4.862
O Sc I Br
1 1 2 1
direct
0.500 0.000 0.000
0.500 0.500 0.500
0.000 0.000 0.500
0.000 0.500 0.000
0.000 0.000 0.000
```



No. 7
Li2HgAu | PBEsol | optimized geometry

Summary:
relative energy among the computed polymorphs	94.1	meV per atom
calculated volume	16.6	A^3/atom
energy relative to the elements	-0.37	eV/atom

Geometry as POSCAR:
```
Li2HgAu
1.0
2.897 0.000 0.000
0.000 4.069 0.000
0.000 0.000 5.645
Hg Au Li
1 1 2
direct
0.500 0.500 0.771
0.000 0.000 0.465
0.000 0.000 0.990
0.500 0.500 0.274
```



No. 8
ReSbIr2 | PBEsol | optimized geometry

Summary:
raw total energy	-9.091	eV/atom
calculated volume	15.9	A^3/atom

Geometry as POSCAR:
```
ReSbIr2
1.0
-1.073 2.129 -1.584
-1.301 -0.579 -2.483
-8.611 -0.244 2.920
Ir Sb Re
2 1 1
direct
0.754 0.754 0.738
0.246 0.246 0.262
0.000 0.000 0.000
0.500 0.500 0.500
```



No. 9
OsRhBr | PBEsol | optimized geometry

Summary:
relative energy among the computed polymorphs	0.0	meV per atom
calculated volume	15.5	A^3/atom

Geometry as POSCAR:
```
OsRhBr
1.0
-0.737 2.682 0.932
-1.304 -1.140 -2.367
-4.424 -2.475 3.628
Os Rh Br
1 1 1
direct
0.333 0.667 0.658
0.667 0.333 0.345
0.000 0.000 0.997
```



No. 10
CrTcIr2 | PBEsol | optimized geometry

Summary:
relative energy among the computed polymorphs	96.1	meV per atom
calculated volume	13.4	A^3/atom
energy relative to the elements	-0.18	eV/atom

Geometry as POSCAR:
```
CrTcIr2
1.0
2.671 0.000 0.000
0.000 3.762 0.000
0.000 0.000 5.326
Cr Ir Tc
1 2 1
direct
0.500 0.500 0.500
0.000 0.000 0.255
0.000 0.000 0.745
0.500 0.500 0.000
```



No. 11
NbInOF2 | PBEsol | optimized geometry

Summary:
raw total energy	-5.361	eV/atom
calculated volume	15.1	A^3/atom

Geometry as POSCAR:
```
NbInOF2
1.0
-0.721 -1.856 -3.637
-1.729 -3.321 2.038
-3.825 1.871 -0.196
Nb O F In
1 1 2 1
direct
0.500 0.500 0.500
0.500 0.000 0.000
0.000 0.500 0.000
0.000 0.000 0.500
0.000 0.000 0.000
```



No. 12
GaOsSe3 | PBEsol | optimized geometry

Summary:
raw total energy	-4.066	eV/atom
calculated volume	20.5	A^3/atom

Geometry as POSCAR:
```
GaOsSe3
1.0
4.679 0.000 0.000
0.000 4.679 0.000
0.000 0.000 4.679
Se Os Ga
3 1 1
direct
0.500 0.000 0.000
0.000 0.000 0.500
0.000 0.500 0.000
0.500 0.500 0.500
0.000 0.000 0.000
```



| no. | M_tot (μB/f.u.) |
| --- | --- |
| 1 | 2.3 |
| 2 | 0.0 |
| 3 | 0.0 |
| 4 | 0.0 |
| 5 | 0.0 |
| 6 | 1.1 |
| 7 | 0.0 |
| 8 | 0.0 |
| 9 | 0.0 |
| 10 | 0.7 |
| 11 | 3.7 |
| 12 | 0.0 |